Compound: Na4Mn3MoS8
Source: the Alexandria database
Functional: PBE
Structure: optimized geometry

Values from the calculation:
DOS(E_F) (states/eV/cell): 7.031
Volume (Å³/atom): 19.0
Energy (eV/atom): -5.57
ρ (g/cm3): 3.33
ΔE_f (raw) (eV/atom): -0.783
Symmetry: No. 166

a b c (Å): 7.3291 7.7848 7.3273
angles (deg): 118.07 120.01 90.00
Last column: nearest neighbours and their distance in Å.
Fractional positions:
S (0.2697, 0.3088, 0.5394)  3 Mn 2.46
S (0.2332, 0.7077, 0.4665)  1 Mo 2.48, 2 Mn 2.53
S (0.7669, 0.2923, 0.0255)  1 Mo 2.48, 2 Mn 2.53
S (0.7668, 0.2923, 0.5335)  1 Mo 2.48, 2 Mn 2.53
S (0.7414, 0.7077, 0.9745)  1 Mo 2.48, 2 Mn 2.53
S (0.2586, 0.2923, 0.0255)  1 Mo 2.48, 2 Mn 2.53
S (0.7303, 0.6912, 0.4606)  3 Mn 2.46
S (0.2331, 0.7077, 0.9745)  1 Mo 2.48, 2 Mn 2.53
Mo (0.0000, 0.5000, 0.0000)  6 S 2.48
Mn (0.5000, 0.5000, 0.5000)  6 S 2.46-2.53
Mn (0.5000, 0.5000, 0.0000)  6 S 2.46-2.53
Mn (0.0000, 0.5000, 0.5000)  6 S 2.46-2.53
Na (0.0000, 0.0000, 0.0000)  6 S 2.84-2.92
Na (0.0000, 0.0000, 0.5000)  6 S 2.84-2.92
Na (0.5000, 0.0000, 0.5000)  6 S 2.84-2.92
Na (0.5000, 0.0000, 0.0000)  6 S 2.87-2.88

Compound: Tm2ScBi3
Source: the Alexandria database
Functional: PBE
Structure: optimized geometry

Values from the calculation:
DOS(E_F) (states/eV/cell): 1.036
Volume (Å³/atom): 29.8
Energy (eV/atom): -5.22
ρ (g/cm3): 9.38
Energy above the lowest structure with this stoichiometry (eV per atom): 0.000
Symmetry: No. 139

a b c (Å): 4.4027 4.4027 9.7302
angles (deg): 103.07 103.07 90.01
Last column: nearest neighbours and their distance in Å.
Fractional positions:
Bi (0.5976, 0.5989, 0.2006)  1 Sc 3.01, 5 Tm 3.11-3.12
Bi (0.2710, 0.2723, 0.5473)  1 Sc 3.01, 5 Tm 3.11-3.12
Bi (0.9340, 0.9359, 0.8740)  2 Tm 3.09, 4 Sc 3.11
Tm (0.1018, 0.1030, 0.2088)  6 Bi 3.09-3.12
Tm (0.7669, 0.7681, 0.5391)  6 Bi 3.09-3.12
Sc (0.4339, 0.4359, 0.8740)  6 Bi 3.01-3.11

Compound: LiUClF4
Source: the Alexandria database
Functional: PBE
Structure: optimized geometry

Values from the calculation:
DOS(E_F) (states/eV/cell): 12.392
Volume (Å³/atom): 17.9
Energy (eV/atom): -6.32
ρ (g/cm3): 4.71
ΔE_f (raw) (eV/atom): -3.101
Symmetry: No. 12

a b c (Å): 6.3222 6.3222 7.0556
angles (deg): 75.40 75.40 69.33
Last column: nearest neighbours and their distance in Å.
Fractional positions:
U (0.2305, 0.2305, 0.8776)  4 F 2.14-2.26
U (0.7695, 0.7695, 0.1224)  4 F 2.14-2.26
F (0.0999, 0.4774, 0.1456)  1 Li 1.97
F (0.4456, 0.4456, 0.8097)  1 Li 1.88
F (0.5226, 0.9001, 0.8544)  1 Li 1.97
F (0.9001, 0.5226, 0.8544)  1 Li 1.97
F (0.2918, 0.2918, 0.5580)  1 Li 1.86
F (0.4774, 0.0999, 0.1456)  1 Li 1.97
F (0.5544, 0.5544, 0.1903)  1 Li 1.88
F (0.7082, 0.7082, 0.4420)  1 Li 1.86
Cl (0.9925, 0.9925, 0.7737)  2 U 2.79-2.82, 3 F 3.02-3.11
Cl (0.0075, 0.0075, 0.2263)  2 U 2.79-2.82, 3 F 3.02-3.11
Li (0.6353, 0.6353, 0.7177)  4 F 1.86-1.97
Li (0.3647, 0.3647, 0.2823)  4 F 1.86-1.97

Compound: PrMnI
Source: the Alexandria database
Functional: PBE
Structure: optimized geometry

Values from the calculation:
DOS(E_F) (states/eV/cell): 5.130
Volume (Å³/atom): 25.8
Energy (eV/atom): -5.24
ρ (g/cm3): 6.93
ΔE_f (raw) (eV/atom): -0.075
Symmetry: No. 11

a b c (Å): 3.6406 7.8520 8.8415
angles (deg): 142.26 89.97 90.02
Last column: nearest neighbours and their distance in Å.
Fractional positions:
Mn (0.2501, 0.4557, 0.9055)  2 Mn 2.18
Mn (0.7499, 0.5443, 0.0945)  2 Mn 2.18
I (0.2498, 0.3715, 0.2042)  3 Mn 2.86-3.19
I (0.7502, 0.6285, 0.7958)  3 Mn 2.86-3.19
Pr (0.2502, 0.0463, 0.3314)  1 Mn 2.84
Pr (0.7498, 0.9537, 0.6686)  1 Mn 2.84

Compound: Pu2Zn15Ga2
Source: the Alexandria database
Functional: PBE
Structure: optimized geometry

Values from the calculation:
DOS(E_F) (states/eV/cell): 22.904
Volume (Å³/atom): 16.5
Energy (eV/atom): -2.99
ρ (g/cm3): 8.51
Symmetry: No. 166

a b c (Å): 6.8378 6.8378 6.8378
angles (deg): 83.39 83.39 83.39
Last column: nearest neighbours and their distance in Å.
Fractional positions:
Ga (0.0993, 0.0993, 0.0993)  1 Ga 2.61, 3 Zn 2.77
Ga (0.9007, 0.9007, 0.9007)  1 Ga 2.61, 3 Zn 2.77
Zn (0.6946, 0.3054, 0.0000)  8 Zn 2.60-2.78
Zn (0.0000, 0.5000, 0.0000)  8 Zn 2.60-2.68, 2 Ga 2.77
Zn (0.3520, 0.8327, 0.3520)  8 Zn 2.54-2.75
Zn (0.3520, 0.3520, 0.8327)  8 Zn 2.54-2.75
Zn (0.1673, 0.6480, 0.6480)  8 Zn 2.54-2.75
Zn (0.3054, 0.6946, 0.0000)  8 Zn 2.60-2.78
Zn (0.6480, 0.6480, 0.1673)  8 Zn 2.54-2.75
Zn (0.8327, 0.3520, 0.3520)  8 Zn 2.54-2.75
Zn (0.0000, 0.3054, 0.6946)  8 Zn 2.60-2.78
Zn (0.6480, 0.1673, 0.6480)  8 Zn 2.54-2.75
Zn (0.3054, 0.0000, 0.6946)  8 Zn 2.60-2.78
Zn (0.0000, 0.0000, 0.5000)  8 Zn 2.60-2.68, 2 Ga 2.77
Zn (0.6946, 0.0000, 0.3054)  8 Zn 2.60-2.78
Zn (0.0000, 0.6946, 0.3054)  8 Zn 2.60-2.78
Zn (0.5000, 0.0000, 0.0000)  8 Zn 2.60-2.68, 2 Ga 2.77
Pu (0.3320, 0.3320, 0.3320)  1 Ga 3.06, 15 Zn 3.17-3.41
Pu (0.6680, 0.6680, 0.6680)  1 Ga 3.06, 15 Zn 3.17-3.41

Compound: Cs3AuClF
Source: the Alexandria database
Functional: PBE
Structure: optimized geometry

Values from the calculation:
DOS(E_F) (states/eV/cell): 0.000
Volume (Å³/atom): 41.4
Energy (eV/atom): -3.22
ρ (g/cm3): 4.34
ΔE_f (raw) (eV/atom): -1.629
Symmetry: No. 11

a b c (Å): 4.9156 8.4675 12.2162
angles (deg): 102.12 90.00 90.00
Last column: nearest neighbours and their distance in Å.
Fractional positions:
Au (0.2500, 0.3467, 0.3238)  7 Cs 3.72-3.87
Au (0.7500, 0.6533, 0.6762)  7 Cs 3.72-3.87
Cs (0.2500, 0.9594, 0.8252)  1 F 2.92
Cs (0.2500, 0.4372, 0.8196)  1 F 3.07
Cs (0.7500, 0.0406, 0.1748)  1 F 2.92
Cs (0.2500, 0.7934, 0.4713)  3 F 2.95-3.11
Cs (0.7500, 0.5628, 0.1804)  1 F 3.07
Cs (0.7500, 0.2066, 0.5287)  3 F 2.95-3.11
F (0.7500, 0.8749, 0.3612)  5 Cs 2.92-3.11
F (0.2500, 0.1251, 0.6388)  5 Cs 2.92-3.11
Cl (0.2500, 0.7612, 0.0561)  6 Cs 3.50-3.57
Cl (0.7500, 0.2388, 0.9439)  6 Cs 3.50-3.57

Compound: Mg4ScCd
Source: the Alexandria database
Functional: PBE
Structure: optimized geometry

Values from the calculation:
DOS(E_F) (states/eV/cell): 6.985
Volume (Å³/atom): 22.3
Energy (eV/atom): -2.33
ρ (g/cm3): 3.16
Energy above the lowest structure with this stoichiometry (eV per atom): 0.000
Symmetry: No. 11

a b c (Å): 5.1309 6.8868 9.9729
angles (deg): 90.00 130.52 90.00
Last column: nearest neighbours and their distance in Å.
Fractional positions:
Mg (0.0277, 0.2500, 0.0101)  4 Cd 3.03-3.15, 5 Mg 3.03-3.27, 1 Sc 3.23
Mg (0.9723, 0.7500, 0.9899)  4 Cd 3.03-3.15, 5 Mg 3.03-3.27, 1 Sc 3.23
Mg (0.5251, 0.5060, 0.3290)  6 Mg 3.03-3.36, 3 Sc 3.07-3.14, 1 Cd 3.20
Mg (0.5251, 0.9940, 0.3290)  6 Mg 3.03-3.36, 3 Sc 3.07-3.14, 1 Cd 3.20
Mg (0.0374, 0.7500, 0.3386)  7 Mg 3.07-3.27, 2 Cd 3.14
Mg (0.4749, 0.4940, 0.6710)  6 Mg 3.03-3.36, 3 Sc 3.07-3.14, 1 Cd 3.20
Mg (0.9626, 0.2500, 0.6614)  7 Mg 3.07-3.27, 2 Cd 3.14
Mg (0.4749, 0.0060, 0.6710)  6 Mg 3.03-3.36, 3 Sc 3.07-3.14, 1 Cd 3.20
Cd (0.5000, 0.0000, 0.0000)  8 Mg 3.03-3.20, 2 Sc 3.10
Cd (0.5000, 0.5000, 0.0000)  8 Mg 3.03-3.20, 2 Sc 3.10
Sc (0.0247, 0.2500, 0.3330)  7 Mg 3.07-3.23, 2 Cd 3.10
Sc (0.9753, 0.7500, 0.6670)  7 Mg 3.07-3.23, 2 Cd 3.10

Compound: RbNpBr4
Source: the Alexandria database
Functional: PBE
Structure: optimized geometry

Values from the calculation:
DOS(E_F) (states/eV/cell): 9.244
Volume (Å³/atom): 37.5
Energy (eV/atom): -4.89
ρ (g/cm3): 4.74
ΔE_f (raw) (eV/atom): -1.453
Energy above the lowest structure with this stoichiometry (eV per atom): 0.000
Symmetry: No. 15

a b c (Å): 7.0288 8.6952 8.6951
angles (deg): 119.37 96.81 96.81
Last column: nearest neighbours and their distance in Å.
Fractional positions:
Br (0.4215, 0.7747, 0.6763)  2 Np 3.02
Br (0.4720, 0.7588, 0.0705)  2 Np 3.00-3.03
Br (0.0785, 0.3237, 0.2253)  2 Np 3.02
Br (0.5280, 0.2412, 0.9295)  2 Np 3.00-3.03
Br (0.0280, 0.9295, 0.2412)  2 Np 3.00-3.03
Br (0.5785, 0.2253, 0.3237)  2 Np 3.02
Br (0.9720, 0.0705, 0.7588)  2 Np 3.00-3.03
Br (0.9215, 0.6763, 0.7747)  2 Np 3.02
Rb (0.7500, 0.6447, 0.3553)  8 Br 3.56-3.67
Rb (0.2500, 0.3553, 0.6447)  8 Br 3.56-3.67
Np (0.7500, 0.9979, 0.0021)  8 Br 3.00-3.03
Np (0.2500, 0.0021, 0.9979)  8 Br 3.00-3.03

Compound: La2TaRh
Source: the Alexandria database
Functional: PBE
Structure: optimized geometry

Values from the calculation:
DOS(E_F) (states/eV/cell): 5.576
Volume (Å³/atom): 23.9
Energy (eV/atom): -7.03
ρ (g/cm3): 9.76
Energy above the lowest structure with this stoichiometry (eV per atom): 0.361
Symmetry: No. 119

a b c (Å): 6.0897 6.0897 6.0897
angles (deg): 139.18 139.18 59.10
Last column: nearest neighbours and their distance in Å.
Fractional positions:
La (0.2500, 0.7500, 0.5000)  4 Ta 3.00
La (0.0000, 0.0000, 0.0000)  4 Rh 3.00
Ta (0.7500, 0.2500, 0.5000)  4 La 3.00
Rh (0.5000, 0.5000, 0.0000)  4 La 3.00

Compound: KCaAs2
Source: the Alexandria database
Functional: PBE
Structure: optimized geometry

Values from the calculation:
DOS(E_F) (states/eV/cell): 1.635
Volume (Å³/atom): 24.8
Energy (eV/atom): -3.55
ρ (g/cm3): 3.83
Energy above the lowest structure with this stoichiometry (eV per atom): 0.281
Symmetry: No. 123

a b c (Å): 4.7310 4.7306 4.4400
angles (deg): 90.00 90.00 90.00
Last column: nearest neighbours and their distance in Å.
Fractional positions:
As (0.5000, 0.5000, 0.0000)  4 Ca 3.24, 4 K 3.24, 4 As 3.35
As (0.0000, 0.0000, 0.0000)  4 K 3.24, 4 Ca 3.24, 4 As 3.35
Ca (0.5000, 0.0000, 0.5000)  8 As 3.24, 4 K 3.35
K (0.0000, 0.5000, 0.5000)  8 As 3.24, 4 Ca 3.35

Compound: Na2Tl3Sn2
Source: the Alexandria database
Functional: PBE
Structure: optimized geometry

Values from the calculation:
DOS(E_F) (states/eV/cell): 2.473
Volume (Å³/atom): 28.7
Energy (eV/atom): -2.64
ρ (g/cm3): 7.42
Energy above the lowest structure with this stoichiometry (eV per atom): 0.000
Symmetry: No. 12

a b c (Å): 4.5633 5.9778 8.0591
angles (deg): 81.63 90.00 112.44
Last column: nearest neighbours and their distance in Å.
Fractional positions:
Na (0.4358, 0.8717, 0.7129)  6 Tl 3.39-3.64, 5 Sn 3.44-3.47, 1 Na 3.50
Na (0.5642, 0.1283, 0.2871)  6 Tl 3.39-3.64, 5 Sn 3.44-3.47, 1 Na 3.50
Sn (0.8414, 0.6829, 0.4390)  2 Sn 3.10, 3 Tl 3.40-3.41, 5 Na 3.44-3.47
Sn (0.1586, 0.3171, 0.5610)  2 Sn 3.10, 3 Tl 3.40-3.41, 5 Na 3.44-3.47
Tl (0.2832, 0.5663, 0.1477)  5 Tl 3.39-3.52, 4 Na 3.39-3.64, 3 Sn 3.40-3.41
Tl (0.0000, 0.0000, 0.0000)  6 Tl 3.39-3.52, 4 Na 3.40, 2 Sn 3.69
Tl (0.7168, 0.4337, 0.8523)  5 Tl 3.39-3.52, 4 Na 3.39-3.64, 3 Sn 3.40-3.41

Compound: SeI
Source: the Alexandria database
Functional: PBE
Structure: optimized geometry

Values from the calculation:
DOS(E_F) (states/eV/cell): 7.680
Volume (Å³/atom): 42.5
Energy (eV/atom): -1.79
ρ (g/cm3): 4.02
ΔE_f (raw) (eV/atom): 0.731
Symmetry: No. 216

a b c (Å): 6.9781 6.9781 6.9781
angles (deg): 90.00 90.00 90.00
Last column: nearest neighbours and their distance in Å.
Fractional positions:
Se (0.7500, 0.2500, 0.7500)  4 I 3.02
Se (0.2500, 0.2500, 0.2500)  4 I 3.02
Se (0.2500, 0.7500, 0.7500)  4 I 3.02
Se (0.7500, 0.7500, 0.2500)  4 I 3.02
I (0.0000, 0.0000, 0.0000)  4 Se 3.02
I (0.5000, 0.0000, 0.5000)  4 Se 3.02
I (0.5000, 0.5000, 0.0000)  4 Se 3.02
I (0.0000, 0.5000, 0.5000)  4 Se 3.02